No. 1
## BeFePb (PBE)

Data for a relaxed BeFePb crystal.

Cell and atoms, written as POSCAR:
```
BeFePb
1.0
0.000 2.982 2.982
2.982 0.000 2.982
2.982 2.982 0.000
Be Fe Pb
1 1 1
Direct
0.000 0.000 0.000
0.250 0.250 0.250
0.500 0.500 0.500
```

energy	-13.68	eV for the cell shown
SG	F-43m


No. 2
## YHo2Fe3Co6 (PBE)

Data for a relaxed YHo2Fe3Co6 crystal.

Cell and atoms, written as POSCAR:
```
YHo2Fe3Co6
1.0
2.532 1.462 7.859
-2.532 1.462 7.859
0.000 -2.923 7.859
Y Ho Fe Co
1 2 3 6
Direct
0.000 0.000 0.000
0.141 0.141 0.141
0.859 0.859 0.859
0.333 0.333 0.333
0.500 0.500 0.500
0.667 0.667 0.667
0.081 0.582 0.582
0.418 0.418 0.919
0.418 0.919 0.418
0.582 0.081 0.582
0.582 0.582 0.081
0.919 0.418 0.418
```

energy of formation from the pure elements	-2.25	eV per formula unit
SG	R-3m


For reference, theoretical density by record: 8.5, 8.9 g/cm³.